No. 1
6
Lattice="4.1776 0.0000 0.0000 -2.0888 4.5639 0.0000 0.0000 0.0000 5.3161" Properties=species:S:1:pos:R:3 comment="ScZnRh, relaxed, DFT GGA-PBE" n_ef_per_ev_atom=0.53 spacegroup="Cmcm, No. 63" total_magnetization_mub_per_cell=0.00 delta_e_f_ev_per_fu=-2.1 pbc="T T T"
Rh 0.0000 0.8656 1.3290
Rh 2.0888 3.6983 3.9871
Zn 2.0888 0.0000 0.0000
Zn 2.0888 0.0000 2.6580
Sc 0.0000 1.9069 3.9871
Sc 2.0888 2.6570 1.3290

***

No. 2
5
Lattice="-1.9331 -2.2322 3.3450 -2.3394 -2.3946 -2.9499 0.9970 -5.2177 0.0703" Properties=species:S:1:pos:R:3 comment="ScZn2Rh2, relaxed, DFT GGA-PBE" n_ef_per_ev_atom=0.41 spacegroup="I4/mmm, No. 139" total_magnetization_mub_per_cell=0.00 de_polymorph_ev_per_atom=0.215 delta_e_f_ev_per_fu=-1.8 pbc="T T T"
Rh -1.7393 -4.9628 -1.3410
Rh -1.5362 -4.8816 1.8064
Zn -1.9851 -6.7470 0.3022
Zn -1.2903 -3.0975 0.1632
Sc 0.0000 0.0000 0.0000

***

Please write out number 2 again, unchanged.
5
Lattice="-1.9331 -2.2322 3.3450 -2.3394 -2.3946 -2.9499 0.9970 -5.2177 0.0703" Properties=species:S:1:pos:R:3 comment="ScZn2Rh2, relaxed, DFT GGA-PBE" n_ef_per_ev_atom=0.41 spacegroup="I4/mmm, No. 139" total_magnetization_mub_per_cell=0.00 de_polymorph_ev_per_atom=0.215 delta_e_f_ev_per_fu=-1.8 pbc="T T T"
Rh -1.7393 -4.9628 -1.3410
Rh -1.5362 -4.8816 1.8064
Zn -1.9851 -6.7470 0.3022
Zn -1.2903 -3.0975 0.1632
Sc 0.0000 0.0000 0.0000